No. 1
# Tl2TcSb2

A geometry-optimized Tl2TcSb2 structure (PBE, Alexandria).

Cell and atoms, written as CIF:
```
data_Tl2TcSb2
_chemical_formula_sum 'Tl4 Tc2 Sb4'
_cell_length_a 6.978
_cell_length_b 6.978
_cell_length_c 5.644
_cell_angle_alpha 90.00
_cell_angle_beta 90.00
_cell_angle_gamma 90.00
_space_group_name_H-M_alt 'P 4/m b m'
_space_group_IT_number 127
_space_group_name_Hall '-P 4 2ab'
loop_
_atom_site_label
_atom_site_type_symbol
_atom_site_fract_x
_atom_site_fract_y
_atom_site_fract_z
Tl1 Tl 0.180 0.320 0.000
Tc1 Tc 0.000 0.000 0.500
Sb1 Sb 0.152 0.652 0.500
```

***

No. 2
# TlTcSb3 PBE optimized geometry
data_TlTcSb3
_chemical_formula_sum 'Tl1 Tc1 Sb3'
_cell_length_a 5.242
_cell_length_b 5.242
_cell_length_c 5.242
_cell_angle_alpha 90.00
_cell_angle_beta 90.00
_cell_angle_gamma 90.00
_space_group_name_H-M_alt 'P m -3 m'
_space_group_IT_number 221
_space_group_name_Hall '-P 4 2 3'
loop_
_atom_site_label
_atom_site_type_symbol
_atom_site_fract_x
_atom_site_fract_y
_atom_site_fract_z
Tl1 Tl 0.000 0.000 0.000
Tc1 Tc 0.500 0.500 0.500
Sb1 Sb 0.000 0.500 0.500
# Offset from the most stable computed form (meV per atom): 0

***

No. 3
# TlTc3Sb PBE optimized geometry
data_TlTc3Sb
_chemical_formula_sum 'Tl1 Tc3 Sb1'
_cell_length_a 4.880
_cell_length_b 4.880
_cell_length_c 4.880
_cell_angle_alpha 90.00
_cell_angle_beta 90.00
_cell_angle_gamma 90.00
_space_group_name_H-M_alt 'P m -3 m'
_space_group_IT_number 221
_space_group_name_Hall '-P 4 2 3'
loop_
_atom_site_label
_atom_site_type_symbol
_atom_site_fract_x
_atom_site_fract_y
_atom_site_fract_z
Tl1 Tl 0.000 0.000 0.000
Tc1 Tc 0.000 0.500 0.500
Sb1 Sb 0.500 0.500 0.500
# Offset from the most stable computed form (meV per atom): 0

***

No. 4
# TlTcSb3 PBE optimized geometry
data_TlTcSb3
_chemical_formula_sum 'Tl1 Tc1 Sb3'
_cell_length_a 5.611
_cell_length_b 5.611
_cell_length_c 5.611
_cell_angle_alpha 90.00
_cell_angle_beta 90.00
_cell_angle_gamma 90.00
_space_group_name_H-M_alt 'P m -3 m'
_space_group_IT_number 221
_space_group_name_Hall '-P 4 2 3'
loop_
_atom_site_label
_atom_site_type_symbol
_atom_site_fract_x
_atom_site_fract_y
_atom_site_fract_z
Tl1 Tl 0.000 0.000 0.000
Tc1 Tc 0.500 0.500 0.500
Sb1 Sb 0.000 0.000 0.500
# Offset from the most stable computed form (meV per atom): 1307

***

The records above give, respectively, total DFT energy (no corrections) values of -43.81; -23.27; -29.17; -16.73 eV/cell.
The records above give, respectively, ΔE_f (raw) values of 287; 367; 1684; 1674 meV per atom.
The records above give, respectively, mass density values of 9.07; 7.70; 8.86; 6.28 g/cm3.